This record from Alexandria via LeMat-Bulk describes an optimized crystal structure of FeSn3O. The functional is PBE+U.

The space group is Pm-3m (No. 221) and the conventional cell measures 4.808, 4.808 and 4.808 Å, with angles of 90.00, 90.00 and 90.00 degrees. The distinct sites, in fractional coordinates, are Fe at (0.000, 0.000, 0.000), Sn at (0.000, 0.500, 0.500) and O at (0.500, 0.500, 0.500).

The magnetic moment is 3.72 Bohr magnetons per cell. The value obtained for the volume is 22.23 A^3/atom. Its density of states at the Fermi level is 0.8128 states/eV per atom. Its excess energy over the best structure of this formula in the dataset is 0.0 kJ/mol of formula units.